Computed, not measured: a relaxed AlCoAg2 crystal at the PBE level of DFT.

The structure belongs to space group R3m (No. 160, hexagonal axes); the cell edges are 2.8457, 2.8457 and 26.2605 Å and the angles 90.00°, 90.00° and 120.00°. The inequivalent atoms are Al at (0.0000, 0.0000, 0.0000), Co at (0.0000, 0.0000, 0.7342), Ag at (0.0000, 0.0000, 0.2466) and Ag at (0.0000, 0.0000, 0.4850).

The value obtained for the energy relative to the elements is 74 meV per atom. The density is 8.16 g/cm3. The value obtained for the total energy is -4.064 eV per atom.

Computed, not measured: a relaxed K3HfH crystal at the PBE level of DFT.

The structure belongs to space group Pm-3m (No. 221); the cell edges are 5.680, 5.680 and 5.680 Å and the angles 90.00°, 90.00° and 90.00°. The inequivalent atoms are K at (0.000, 0.000, 0.500), Hf at (0.500, 0.500, 0.500) and H at (0.000, 0.000, 0.000).

Its energy above the most stable polymorph in this dataset is 0 meV/atom. The density is 2.69 g/cm3. The value obtained for the total energy is -2.452 eV per atom.

Computed, not measured: a relaxed Zn2SbW crystal at the PBE level of DFT.

The structure belongs to space group P4mm (No. 99); the cell edges are 3.497, 3.497 and 5.655 Å and the angles 90.00°, 90.00° and 90.00°. The inequivalent atoms are Zn at (0.000, 0.000, 0.000), Zn at (0.500, 0.500, 0.214), Sb at (0.000, 0.000, 0.506) and W at (0.500, 0.500, 0.741).

The value obtained for the energy relative to the elements, uncorrected is 0.29 eV/atom. The density is 10.48 g/cm3. The value obtained for the total energy is -4.613 eV per atom.

Computed, not measured: a relaxed Pr4TmTe5 crystal at the PBE level of DFT.

The structure belongs to space group I4/mmm (No. 139); the cell edges are 4.441, 4.441 and 32.474 Å and the angles 90.00°, 90.00° and 90.00°. The inequivalent atoms are Pr at (0.000, 0.000, 0.106), Pr at (0.000, 0.000, 0.311), Tm at (0.000, 0.000, 0.500), Te at (0.000, 0.000, 0.000), Te at (0.000, 0.000, 0.207) and Te at (0.000, 0.000, 0.408).

The value obtained for the energy relative to the elements, uncorrected is -1.39 eV/atom. The density is 7.11 g/cm3. The value obtained for the total energy is -5.316 eV per atom.

Computed, not measured: a relaxed U2Ni crystal at the PBE level of DFT.

The structure belongs to space group I4/mmm (No. 139); the cell edges are 3.503, 3.503 and 8.655 Å and the angles 90.00°, 90.00° and 90.00°. The inequivalent atoms are U at (0.000, 0.000, 0.181) and Ni at (0.000, 0.000, 0.500).

The value obtained for the energy relative to the elements is 62 meV per atom. The density is 16.72 g/cm3. The value obtained for the total energy is -9.390 eV per atom.

Computed, not measured: a relaxed CoHBrN crystal at the PBE level of DFT.

The structure belongs to space group Cm (No. 8); the cell edges are 5.491, 3.173 and 6.486 Å and the angles 90.00°, 105.43° and 90.00°. The inequivalent atoms are Co at (0.000, 0.000, 0.000), H at (0.413, 0.000, 0.255), Br at (0.380, 0.500, 0.619) and N at (0.361, 0.000, 0.089).

Its energy above the most stable polymorph in this dataset is 31 meV/atom. The density is 4.69 g/cm3. The value obtained for the total energy is -5.016 eV per atom.